# 1
A geometry-optimized AlIn5 structure, computed with PBE.

Lattice parameters (Å, degrees): 5.7669 5.7669 5.3723 90.00 90.00 120.00
With the nearest neighbours (Å) after each atom.
Sites, in units of the cell vectors:
Al 0.0000 0.0000 0.0000  12 In 3.27-3.33
In 0.0000 0.6757 0.5000  10 In 3.24-3.38, 2 Al 3.27
In 0.3243 0.3243 0.5000  10 In 3.24-3.38, 2 Al 3.27
In 0.3333 0.6667 0.0000  9 In 3.32-3.33, 3 Al 3.33
In 0.6667 0.3333 0.0000  9 In 3.32-3.33, 3 Al 3.33
In 0.6757 0.0000 0.5000  10 In 3.24-3.38, 2 Al 3.27

D(E_F): 0.302 states/eV/atom
Raw total energy: -2.797 eV/atom
Spin magnetization: 0.00 μB per formula unit
Energy relative to the elements: 0.109 eV per atom



# 2
A geometry-optimized AlIn2 structure, computed with PBE.

Lattice parameters (Å, degrees): 7.8390 7.8390 4.1392 90.00 90.00 120.00
With the nearest neighbours (Å) after each atom.
Sites, in units of the cell vectors:
Al 0.0000 0.0000 0.0000  9 In 2.93-3.13
Al 0.3333 0.6667 0.5000  9 In 2.92-3.17
Al 0.6667 0.3333 0.5000  9 In 2.92-3.17
In 0.0000 0.2639 0.5000  4 Al 2.92-2.93
In 0.0000 0.6011 0.0000  5 Al 3.13-3.17, 6 In 3.36-3.45
In 0.2639 0.0000 0.5000  4 Al 2.92-2.93
In 0.3989 0.3989 0.0000  5 Al 3.13-3.17, 6 In 3.36-3.45
In 0.6011 0.0000 0.0000  5 Al 3.13-3.17, 6 In 3.36-3.45
In 0.7361 0.7361 0.5000  4 Al 2.92-2.93

D(E_F): 0.648 states/eV/atom
Raw total energy: -2.936 eV/atom
Spin magnetization: 0.00 μB per formula unit
Energy relative to the elements: 0.137 eV per atom



# 3
A geometry-optimized AlIn2 structure, computed with PBE.

Lattice parameters (Å, degrees): 6.1897 6.1897 6.1897 150.66 141.59 49.06
With the nearest neighbours (Å) after each atom.
Sites, in units of the cell vectors:
Al 0.0000 0.0000 0.0000  8 In 3.10, 2 Al 3.13
In 0.3457 0.3457 0.0000  4 Al 3.10, 6 In 3.13-3.35
In 0.6543 0.6543 0.0000  4 Al 3.10, 6 In 3.13-3.35

D(E_F): 0.422 states/eV/atom
Raw total energy: -2.927 eV/atom
Spin magnetization: 0.00 μB per formula unit
Energy relative to the elements: 0.146 eV per atom



# 4
A geometry-optimized Al3In structure, computed with PBE.

Lattice parameters (Å, degrees): 2.9260 5.0822 5.2134 90.00 90.00 90.00
With the nearest neighbours (Å) after each atom.
Sites, in units of the cell vectors:
Al 0.0000 0.0000 0.0000  8 Al 2.86-3.12, 4 In 3.09
Al 0.0000 0.5000 0.3132  8 Al 2.93-3.05, 4 In 2.98-3.00
Al 0.5000 0.0000 0.4712  10 Al 2.86-3.12, 2 In 3.10
In 0.5000 0.5000 0.8115  2 In 2.93, 10 Al 2.98-3.10

D(E_F): 0.226 states/eV/atom
Raw total energy: -3.327 eV/atom
Spin magnetization: 0.00 μB per formula unit
Energy relative to the elements: 0.164 eV per atom



# 5
A geometry-optimized AlIn2 structure, computed with PBE.

Lattice parameters (Å, degrees): 3.3147 3.3662 6.7866 75.72 77.01 89.03
With the nearest neighbours (Å) after each atom.
Sites, in units of the cell vectors:
Al 0.0000 0.0000 0.0000  8 In 3.06-3.11, 4 Al 3.31-3.37
In 0.3556 0.3458 0.3095  4 Al 3.06-3.11, 6 In 3.31-3.37
In 0.6444 0.6542 0.6905  4 Al 3.06-3.11, 6 In 3.31-3.37

D(E_F): 0.352 states/eV/atom
Raw total energy: -2.944 eV/atom
Spin magnetization: 0.00 μB per formula unit
Energy relative to the elements: 0.129 eV per atom



# 6
A geometry-optimized AlIn2 structure, computed with PBE.

Lattice parameters (Å, degrees): 3.3090 3.3090 6.8298 100.42 100.42 83.30
With the nearest neighbours (Å) after each atom.
Sites, in units of the cell vectors:
Al 0.0000 0.0000 0.0000  8 In 2.99-3.24, 4 Al 3.31
In 0.3862 0.3862 0.6946  4 Al 2.99-3.24, 5 In 3.13-3.31
In 0.6138 0.6138 0.3054  4 Al 2.99-3.24, 5 In 3.13-3.31

D(E_F): 0.293 states/eV/atom
Raw total energy: -2.946 eV/atom
Spin magnetization: 0.00 μB per formula unit
Energy relative to the elements: 0.127 eV per atom



# 7
A geometry-optimized Al3In structure, computed with PBE.

Lattice parameters (Å, degrees): 5.9240 5.9240 4.7766 90.00 90.00 109.90
With the nearest neighbours (Å) after each atom.
Sites, in units of the cell vectors:
Al 0.1200 0.2951 0.7500  7 Al 2.82-3.06, 4 In 2.95-3.14
Al 0.1725 0.8275 0.7500  8 Al 2.89-3.06, 2 In 3.02
Al 0.2951 0.1200 0.2500  7 Al 2.82-3.06, 4 In 2.95-3.14
Al 0.7049 0.8800 0.7500  7 Al 2.82-3.06, 4 In 2.95-3.14
Al 0.8275 0.1725 0.2500  8 Al 2.89-3.06, 2 In 3.02
Al 0.8800 0.7049 0.2500  7 Al 2.82-3.06, 4 In 2.95-3.14
In 0.3633 0.6367 0.2500  10 Al 2.95-3.14
In 0.6367 0.3633 0.7500  10 Al 2.95-3.14

D(E_F): 0.227 states/eV/atom
Raw total energy: -3.339 eV/atom
Spin magnetization: 0.00 μB per formula unit
Energy relative to the elements: 0.153 eV per atom



# 8
A geometry-optimized AlIn7 structure, computed with PBE.

Lattice parameters (Å, degrees): 6.6508 6.6508 6.6508 60.00 60.00 60.00
With the nearest neighbours (Å) after each atom.
Sites, in units of the cell vectors:
Al 0.0000 0.0000 0.0000  12 In 3.33
In 0.0000 0.0000 0.5000  10 In 3.33, 2 Al 3.33
In 0.0000 0.5000 0.0000  10 In 3.33, 2 Al 3.33
In 0.0000 0.5000 0.5000  10 In 3.33, 2 Al 3.33
In 0.5000 0.0000 0.0000  10 In 3.33, 2 Al 3.33
In 0.5000 0.0000 0.5000  10 In 3.33, 2 Al 3.33
In 0.5000 0.5000 0.0000  10 In 3.33, 2 Al 3.33
In 0.5000 0.5000 0.5000  12 In 3.33

D(E_F): 0.319 states/eV/atom
Raw total energy: -2.800 eV/atom
Spin magnetization: 0.00 μB per formula unit
Energy relative to the elements: 0.064 eV per atom